The following is a DFT calculation (PBE) of an optimized crystal structure of PaHgIr4.

Cell: 7.532 7.532 7.532 Å, 90.00 90.00 90.00°
Space group F-43m (No. 216)
Unique sites:
Pa 0.000 0.000 0.000 (multiplicity 4)
Hg 0.250 0.250 0.750 (multiplicity 4)
Ir 0.124 0.124 0.376 (multiplicity 16)

ΔE_f (eV/atom): -0.36
Magnetic moment (μB/cell): 0.00
Energy (eV/atom): -7.90